(1)
Computed, not measured: a relaxed Nd5Gd3H12 crystal at the PBE level of DFT.

Values from the calculation:
Uncorrected energy in eV/atom: -5.752

Lattice parameters (Å, degrees): 13.498 13.498 13.498 90.00 90.00 90.00
Space group Ia-3d (No. 230)
Asymmetric unit:
Nd1 0.000 0.000 0.000 (multiplicity 16)
Nd2 0.000 0.250 0.375 (multiplicity 24)
Gd1 0.000 0.250 0.125 (multiplicity 24)
H1 0.001 0.071 0.657 (multiplicity 96)

---

(2)
Computed, not measured: a relaxed CePr2TmTe5 crystal at the PBE level of DFT.

Values from the calculation:
Uncorrected energy in eV/atom: -4.840

Lattice parameters (Å, degrees): 5.497 5.497 11.860 90.00 90.00 90.00
Space group P4/mmm (No. 123)
Asymmetric unit:
Ce1 0.000 0.000 0.000 (multiplicity 1)
Pr1 0.500 0.500 0.338 (multiplicity 2)
Tm1 0.000 0.000 0.500 (multiplicity 1)
Te1 0.000 0.000 0.253 (multiplicity 2)
Te2 0.000 0.500 0.500 (multiplicity 2)
Te3 0.500 0.500 0.000 (multiplicity 1)

---

(3)
Computed, not measured: a relaxed ZrRuAu2 crystal at the PBE level of DFT.

Values from the calculation:
Energy of formation from the pure elements in kJ/mol of formula units: -5.8
Uncorrected energy in eV/atom: -6.110
Energy above the most stable polymorph in this dataset in meV per atom: 358.9

Lattice parameters (Å, degrees): 3.2274 3.2274 25.4245 90.00 90.00 120.00
Space group R3m (No. 160, hexagonal axes)
Asymmetric unit:
Zr1 0.0000 0.0000 0.0000 (multiplicity 3)
Ru1 0.0000 0.0000 0.2620 (multiplicity 3)
Au1 0.0000 0.0000 0.5099 (multiplicity 3)
Au2 0.0000 0.0000 0.7551 (multiplicity 3)

---

(4)
Computed, not measured: a relaxed Tc2TeOs crystal at the PBE level of DFT.

Values from the calculation:
Uncorrected energy in eV/atom: -8.257
Energy above the most stable polymorph in this dataset in meV per atom: 98.3

Lattice parameters (Å, degrees): 2.925 3.706 6.101 90.00 90.00 90.00
Space group Pmmm (No. 47)
Asymmetric unit:
Tc1 0.000 0.000 0.218 (multiplicity 2)
Te1 0.500 0.500 0.500 (multiplicity 1)
Os1 0.500 0.500 0.000 (multiplicity 1)

---

(5)
Computed, not measured: a relaxed SrCa2Tc crystal at the PBE level of DFT.

Values from the calculation:
Energy of formation from the pure elements in kJ/mol of formula units: 248.1
Uncorrected energy in eV/atom: -3.370
Energy above the most stable polymorph in this dataset in meV per atom: 155.5

Lattice parameters (Å, degrees): 5.207 5.207 8.715 90.00 90.00 90.00
Space group I-4m2 (No. 119)
Asymmetric unit:
Sr1 0.000 0.000 0.000 (multiplicity 2)
Ca1 0.000 0.000 0.500 (multiplicity 2)
Ca2 0.000 0.500 0.750 (multiplicity 2)
Tc1 0.000 0.500 0.250 (multiplicity 2)

---

(6)
Computed, not measured: a relaxed Pr5YGe4 crystal at the PBE level of DFT.

Values from the calculation:
Energy of formation from the pure elements in kJ/mol of formula units: -591.0
Uncorrected energy in eV/atom: -5.496

Lattice parameters (Å, degrees): 15.987 5.130 7.069 90.00 91.07 90.00
Space group C2/m (No. 12)
Asymmetric unit:
Pr1 0.000 0.000 0.000 (multiplicity 2)
Pr2 0.164 0.500 0.997 (multiplicity 4)
Pr3 0.166 0.500 0.507 (multiplicity 4)
Y1 0.000 0.000 0.500 (multiplicity 2)
Ge1 0.009 0.500 0.260 (multiplicity 4)
Ge2 0.176 0.000 0.748 (multiplicity 4)